Density functional theory data (PBE) for a relaxed Rb2NbH4 crystal.

a = 4.131 Å, b = 4.131 Å, c = 7.769 Å
α = 74.58°, β = 74.58°, γ = 90.00°
Sites, in units of the cell vectors:
H: 0.861 0.861 0.278
H: 0.500 0.000 0.000
H: 0.139 0.139 0.722
H: 0.000 0.500 0.000
Rb: 0.350 0.350 0.301
Rb: 0.650 0.650 0.699
Nb: 0.000 0.000 0.000

Computed properties:
The value obtained for the calculated total energy is -25.22 eV for the cell shown. Its space group is I4/mmm (139).